Here is crystalline Ba2NbGeAu at its relaxed geometry from Alexandria via LeMat-Bulk. Energies are from PBE.

Computed properties:
raw total energy: -19.2 eV for the cell shown
energy of formation from the pure elements: 517 meV per atom
M_tot: 4.2 μB per formula unit

a b c (Å): 6.344 6.344 4.770
angles (deg): 90.00 90.00 90.00
Fractional coordinates of all 5 atoms:
Ge  0.000  0.000  0.500
Nb  0.500  0.500  0.500
Au  0.000  0.000  0.000
Ba  0.000  0.500  0.000
Ba  0.500  0.000  0.000